[1]
8
Lattice="4.235 0.000 0.000 0.000 7.331 0.109 0.000 -2.629 6.702" Properties=species:S:1:pos:R:3 comment="NaSm2AgSe4 | the Alexandria database | GGA-PBE | relaxed" raw_formation_energy_ev_per_atom=-1.421 dft_energy_ry_per_atom=-0.35750 dos_at_fermi_per_ev_cell=0.0 spacegroup=P2/m mass_density_g_cm3=5.9 pbc="T T T"
Na 2.117 3.665 0.055
Sm 2.117 -1.315 3.351
Sm 0.000 2.351 3.405
Ag 0.000 0.000 0.000
Se 2.117 1.146 1.733
Se 2.117 3.555 5.078
Se 0.000 -0.125 4.984
Se 0.000 4.826 1.827

=====

[2]
9
Lattice="-5.065 -1.704 2.527 -0.372 -6.776 -5.314 2.440 1.138 5.369" Properties=species:S:1:pos:R:3 comment="Er2MgHg6 | the Alexandria database | GGA-PBE | relaxed" formation_energy_ev_per_atom=-0.259 dft_energy_ry_per_atom=-0.12140 dos_at_fermi_per_ev_cell=5.0 spacegroup=C2/m mass_density_g_cm3=12.2 pbc="T T T"
Er -2.821 -5.306 -0.026
Er -0.176 -2.036 2.609
Mg 0.000 0.000 0.000
Hg -0.215 -3.299 -0.447
Hg -2.659 -1.793 4.794
Hg -2.782 -4.043 3.029
Hg -2.594 -1.968 0.388
Hg -0.338 -5.550 -2.212
Hg -2.843 -6.512 -3.175

=====

[3]
6
Lattice="4.683 -0.132 -2.449 -2.977 4.362 -0.237 -0.236 0.089 5.206" Properties=species:S:1:pos:R:3 comment="Hf2ReTc3 | the Alexandria database | GGA-PBE | relaxed" formation_energy_ev_per_atom=-0.334 dft_energy_ry_per_atom=-0.80186 dos_at_fermi_per_ev_cell=6.5 spacegroup=C2/m mass_density_g_cm3=13.6 pbc="T T T"
Hf 2.362 1.545 -1.283
Hf -0.892 2.774 3.803
Re 0.000 0.000 0.000
Tc 0.735 2.160 1.260
Tc -0.118 0.045 2.603
Tc 2.224 -0.021 1.379